Density functional theory data (GGA-PBE) for a relaxed Y2TmTe3 crystal.

Calculated values
- Crystal system: trigonal
- SG: P-3m1, No. 164

Cell lengths 4.3392, 4.3392, 10.6473 Å; angles 90.00, 90.00, 120.00 degrees
With the nearest neighbours (Å) after each atom.
Fractional coordinates of all 6 atoms:
Y  0.6667  0.3333  0.8317  6 Te 3.08-3.09
Tm  0.0000  0.0000  0.5000  6 Te 3.04
Te  0.0000  0.0000  0.0000  6 Y 3.08
Te  0.3333  0.6667  0.6619  3 Tm 3.04, 3 Y 3.09
Y  0.3333  0.6667  0.1683  6 Te 3.08-3.09
Te  0.6667  0.3333  0.3381  3 Tm 3.04, 3 Y 3.09

***

Density functional theory data (GGA-PBE) for a relaxed Zr6Ga2W crystal.

Calculated values
- Crystal system: hexagonal
- SG: P-62m, No. 189

Cell lengths 7.7206, 7.7206, 3.6539 Å; angles 90.00, 90.00, 120.00 degrees
With the nearest neighbours (Å) after each atom.
Fractional coordinates of all 9 atoms:
Zr  0.7359  0.7359  0.0000  2 W 2.74, 2 Ga 2.88
Zr  0.0000  0.6047  0.5000  4 Ga 2.99, 1 W 3.05, 6 Zr 3.20-3.25
Zr  0.0000  0.2641  0.0000  2 W 2.74, 2 Ga 2.88
Zr  0.3953  0.3953  0.5000  4 Ga 2.99, 1 W 3.05, 6 Zr 3.20-3.25
Ga  0.6667  0.3333  0.0000  9 Zr 2.88-2.99
Ga  0.3333  0.6667  0.0000  9 Zr 2.88-2.99
Zr  0.2641  0.0000  0.0000  2 W 2.74, 2 Ga 2.88
W  0.0000  0.0000  0.5000  9 Zr 2.74-3.05
Zr  0.6047  0.0000  0.5000  4 Ga 2.99, 1 W 3.05, 6 Zr 3.20-3.25

***

Density functional theory data (GGA-PBE) for a relaxed LiHfGaNi crystal.

Calculated values
- Crystal system: cubic
- Energy above the most stable polymorph in this dataset: 0.290 eV per atom
- SG: F-43m, No. 216

Cell lengths 4.3499, 4.3499, 4.3499 Å; angles 60.00, 60.00, 60.00 degrees
With the nearest neighbours (Å) after each atom.
Fractional coordinates of all 4 atoms:
Hf  0.0000  0.0000  0.0000  4 Li 2.66, 4 Ga 2.66
Ga  0.2500  0.2500  0.2500  4 Ni 2.66, 4 Hf 2.66
Ni  0.5000  0.5000  0.5000  4 Ga 2.66, 4 Li 2.66
Li  0.7500  0.7500  0.7500  4 Hf 2.66, 4 Ni 2.66

***

Density functional theory data (GGA-PBE) for a relaxed ErAuS2 crystal.

Calculated values
- Crystal system: orthorhombic
- SG: Pnma, No. 62

Cell lengths 12.9305, 4.0883, 7.1808 Å; angles 90.00, 90.00, 90.00 degrees
With the nearest neighbours (Å) after each atom.
Fractional coordinates of all 16 atoms:
S  0.0489  0.2500  0.3288  1 Au 2.33
Er  0.8554  0.2500  0.4859  6 S 2.73-2.76
Er  0.3554  0.2500  0.0141  6 S 2.73-2.76
S  0.9511  0.7500  0.6712  1 Au 2.33
S  0.4511  0.7500  0.8288  1 Au 2.33
Au  0.6034  0.2500  0.4802  2 S 2.33
Au  0.3966  0.7500  0.5198  2 S 2.33
S  0.7038  0.2500  0.7503  1 Au 2.33
Au  0.1034  0.2500  0.0198  2 S 2.33
Er  0.6446  0.7500  0.9859  6 S 2.73-2.76
S  0.7962  0.7500  0.2503  1 Au 2.33
S  0.5489  0.2500  0.1712  1 Au 2.33
S  0.2038  0.2500  0.7497  1 Au 2.33
S  0.2962  0.7500  0.2497  1 Au 2.33
Er  0.1446  0.7500  0.5141  6 S 2.73-2.76
Au  0.8966  0.7500  0.9802  2 S 2.33

***

Density functional theory data (GGA-PBE) for a relaxed LiYCoGe crystal.

Calculated values
- Crystal system: cubic
- Energy above the most stable polymorph in this dataset: 0.000 eV per atom
- SG: F-43m, No. 216

Cell lengths 4.4589, 4.4589, 4.4589 Å; angles 60.00, 60.00, 60.00 degrees
With the nearest neighbours (Å) after each atom.
Fractional coordinates of all 4 atoms:
Y  0.5000  0.5000  0.5000  4 Li 2.73, 4 Co 2.73
Ge  0.0000  0.0000  0.0000  4 Co 2.73, 4 Li 2.73
Li  0.2500  0.2500  0.2500  4 Ge 2.73, 4 Y 2.73
Co  0.7500  0.7500  0.7500  4 Ge 2.73, 4 Y 2.73

***

Density functional theory data (GGA-PBE) for a relaxed NdIn2Te4 crystal.

Calculated values
- Crystal system: tetragonal
- SG: I-4, No. 82

Cell lengths 7.9763, 7.9763, 7.9763 Å; angles 131.06, 131.06, 71.72 degrees
With the nearest neighbours (Å) after each atom.
Fractional coordinates of all 7 atoms:
Te  0.6288  0.5623  0.4693  2 In 2.85-3.01, 1 Nd 3.08
Nd  0.0000  0.0000  0.0000  4 Te 3.08
In  0.2500  0.7500  0.5000  4 Te 3.01
In  0.5000  0.5000  0.0000  4 Te 2.85
Te  0.0929  0.1595  0.5307  2 In 2.85-3.01, 1 Nd 3.08
Te  0.8405  0.3712  0.9335  2 In 2.85-3.01, 1 Nd 3.08
Te  0.4377  0.9071  0.0665  2 In 2.85-3.01, 1 Nd 3.08

***

Number 1: M_tot 0.01 μB/cell, calculated volume 174 Å³/cell, electronic total energy -5.73 eV/atom. Number 2: M_tot 0.02 μB/cell, calculated volume 189 Å³/cell, electronic total energy -8.04 eV/atom. Number 3: M_tot 0.01 μB/cell, calculated volume 58 Å³/cell, electronic total energy -5.31 eV/atom. Number 4: M_tot 0.00 μB/cell, calculated volume 380 Å³/cell, electronic total energy -5.32 eV/atom. Number 5: M_tot 0.92 μB/cell, calculated volume 63 Å³/cell, electronic total energy -5.37 eV/atom. Number 6: M_tot 0.00 μB/cell, calculated volume 282 Å³/cell, electronic total energy -3.78 eV/atom.